PuB4Os: relaxed, PBE.

Lattice parameters (Å, degrees): 5.9857 11.6048 3.5386 90.00 90.00 90.00
Last column: nearest neighbours and their distance in Å.
Fractional positions:
Os 0.6382 0.0927 0.0000  10 B 2.26-2.40
B 0.1142 0.5469 0.5000  3 B 1.75-1.76
Os 0.8618 0.5927 0.0000  10 B 2.26-2.40
Pu 0.6272 0.3501 0.0000  14 B 2.64-2.76
B 0.5281 0.8083 0.5000  3 B 1.76-1.89
Pu 0.1272 0.1499 0.0000  14 B 2.64-2.76
B 0.2132 0.8130 0.5000  3 B 1.79-1.89
B 0.3647 0.4688 0.5000  3 B 1.75-1.87
B 0.6142 0.9531 0.5000  3 B 1.75-1.76
Os 0.1382 0.4073 0.0000  10 B 2.26-2.40
Pu 0.3728 0.6499 0.0000  14 B 2.64-2.76
B 0.1353 0.9688 0.5000  3 B 1.75-1.87
Pu 0.8728 0.8501 0.0000  14 B 2.64-2.76
B 0.0281 0.6917 0.5000  3 B 1.76-1.89
B 0.7868 0.1870 0.5000  3 B 1.79-1.89
B 0.9719 0.3083 0.5000  3 B 1.76-1.89
B 0.6353 0.5312 0.5000  3 B 1.75-1.87
B 0.8647 0.0312 0.5000  3 B 1.75-1.87
B 0.4719 0.1917 0.5000  3 B 1.76-1.89
B 0.3858 0.0469 0.5000  3 B 1.75-1.76
B 0.8858 0.4531 0.5000  3 B 1.75-1.76
Os 0.3618 0.9073 0.0000  10 B 2.26-2.40
B 0.2868 0.3130 0.5000  3 B 1.79-1.89
B 0.7132 0.6870 0.5000  3 B 1.79-1.89

Properties
ρ = 12.90 g/cm3
raw total energy = -9.196 eV/atom
magnetic moment = 0.777 μB per atom